Entry 1:
A plane-wave DFT calculation with PBE was carried out for an optimized crystal structure of CaPr2Tm.

Geometry as CIF:
```
data_CaPr2Tm
_symmetry_space_group_name_H-M 'F m -3 m'
_symmetry_Int_Tables_number 225
_symmetry_space_group_name_Hall '-F 4 2 3'
_cell_length_a 8.277
_cell_length_b 8.277
_cell_length_c 8.277
_cell_angle_alpha 90.00
_cell_angle_beta 90.00
_cell_angle_gamma 90.00
loop_
_atom_site_label
_atom_site_type_symbol
_atom_site_fract_x
_atom_site_fract_y
_atom_site_fract_z
Ca1 Ca 0.000 0.000 0.000
Pr1 Pr 0.250 0.250 0.250
Tm1 Tm 0.000 0.000 0.500
```

The total DFT energy (no corrections) is -62.468 eV/cell. The calculation puts the calculated density at 5.75 Mg/m³. Its energy relative to the lowest polymorph listed for this composition is 72.0 meV per atom. The size of the total moment is 0.000 μB per atom. The density of states at the Fermi level comes out at 1.4609 states/eV per atom. For the formation energy from the elements, the calculation gives 103.8 meV per atom.

***

Entry 2:
A plane-wave DFT calculation with PBE was carried out for an optimized crystal structure of Ca2Pr12Tm5.

Geometry as CIF:
```
data_Ca2Pr12Tm5
_symmetry_space_group_name_H-M 'C 1 2/m 1'
_symmetry_Int_Tables_number 12
_cell_length_a 19.659
_cell_length_b 7.100
_cell_length_c 11.128
_cell_angle_alpha 90.00
_cell_angle_beta 108.22
_cell_angle_gamma 90.00
loop_
_symmetry_equiv_pos_as_xyz
'x,y,z'
'-x,-y,-z'
'-x,y,-z'
'x,-y,z'
'x+1/2,y+1/2,z'
'-x+1/2,-y+1/2,-z'
'-x+1/2,y+1/2,-z'
'x+1/2,-y+1/2,z'
loop_
_atom_site_label
_atom_site_type_symbol
_atom_site_fract_x
_atom_site_fract_y
_atom_site_fract_z
Ca1 Ca 0.000 0.244 0.000
Pr1 Pr 0.029 0.000 0.369
Pr2 Pr 0.141 0.500 0.334
Pr3 Pr 0.160 0.253 0.619
Pr4 Pr 0.199 0.255 0.101
Tm1 Tm 0.000 0.500 0.500
Tm2 Tm 0.130 0.000 0.845
Tm3 Tm 0.197 0.000 0.380
```

The total DFT energy (no corrections) is -154.002 eV/cell. The calculation puts the calculated density at 5.89 Mg/m³. The size of the total moment is 0.000 μB per atom. The density of states at the Fermi level comes out at 1.5586 states/eV per atom. For the formation energy from the elements, the calculation gives 353.3 meV per atom.

***

Entry 3:
A plane-wave DFT calculation with PBE was carried out for an optimized crystal structure of Ca2PrTm.

Geometry as CIF:
```
data_Ca2PrTm
_symmetry_space_group_name_H-M 'P 1'
_symmetry_Int_Tables_number 1
_cell_length_a 3.593
_cell_length_b 5.967
_cell_length_c 7.019
_cell_angle_alpha 89.93
_cell_angle_beta 75.60
_cell_angle_gamma 89.98
loop_
_symmetry_equiv_pos_as_xyz
'x,y,z'
loop_
_atom_site_label
_atom_site_type_symbol
_atom_site_fract_x
_atom_site_fract_y
_atom_site_fract_z
Ca1 Ca 0.000 0.000 0.000
Ca2 Ca 0.268 0.000 0.482
Pr1 Pr 0.660 0.499 0.693
Tm1 Tm 0.387 0.500 0.223
```

The total DFT energy (no corrections) is -12.677 eV/cell. The calculation puts the calculated density at 4.44 Mg/m³. Its energy relative to the lowest polymorph listed for this composition is 0.0 meV per atom. The size of the total moment is 0.001 μB per atom. The density of states at the Fermi level comes out at 1.5938 states/eV per atom. For the formation energy from the elements, the calculation gives 144.2 meV per atom.

***

Number 1 is which compound? CaPr2Tm

***

What is the calculated density in the first record? 5.75 Mg/m³

***

size of the total moment of number 2 (Ca2Pr12Tm5)? 0.000 μB per atom

***

Copy entry 3 word for word.
A plane-wave DFT calculation with PBE was carried out for an optimized crystal structure of Ca2PrTm.

Geometry as CIF:
```
data_Ca2PrTm
_symmetry_space_group_name_H-M 'P 1'
_symmetry_Int_Tables_number 1
_cell_length_a 3.593
_cell_length_b 5.967
_cell_length_c 7.019
_cell_angle_alpha 89.93
_cell_angle_beta 75.60
_cell_angle_gamma 89.98
loop_
_symmetry_equiv_pos_as_xyz
'x,y,z'
loop_
_atom_site_label
_atom_site_type_symbol
_atom_site_fract_x
_atom_site_fract_y
_atom_site_fract_z
Ca1 Ca 0.000 0.000 0.000
Ca2 Ca 0.268 0.000 0.482
Pr1 Pr 0.660 0.499 0.693
Tm1 Tm 0.387 0.500 0.223
```

The total DFT energy (no corrections) is -12.677 eV/cell. The calculation puts the calculated density at 4.44 Mg/m³. Its energy relative to the lowest polymorph listed for this composition is 0.0 meV per atom. The size of the total moment is 0.001 μB per atom. The density of states at the Fermi level comes out at 1.5938 states/eV per atom. For the formation energy from the elements, the calculation gives 144.2 meV per atom.